Tb3Ce4HoTe8: relaxed, PBE-GGA.

```
Tb3Ce4HoTe8
1.0
4.401 2.541 7.308
-4.401 2.541 7.308
0.000 -5.082 7.308
Tb Ce Ho Te
3 4 1 8
Direct
0.000 0.500 0.500
0.500 0.000 0.500
0.500 0.500 0.000
0.000 0.000 0.500
0.000 0.500 0.000
0.500 0.000 0.000
0.500 0.500 0.500
0.000 0.000 0.000
0.246 0.246 0.748
0.246 0.748 0.246
0.252 0.754 0.754
0.253 0.253 0.253
0.747 0.747 0.747
0.748 0.246 0.246
0.754 0.252 0.754
0.754 0.754 0.252
```

Values from the calculation:
- ΔE_f (raw): -129.3 kJ per mole of atoms

In2Ag13: relaxed, PBE-GGA.

```
In2Ag13
1.0
3.721 2.148 7.104
-3.721 2.148 7.104
0.000 -4.297 7.104
In Ag
2 13
Direct
0.133 0.133 0.133
0.867 0.867 0.867
0.000 0.000 0.000
0.114 0.114 0.496
0.114 0.496 0.114
0.250 0.250 0.626
0.250 0.626 0.250
0.374 0.750 0.750
0.496 0.114 0.114
0.504 0.886 0.886
0.626 0.250 0.250
0.750 0.374 0.750
0.750 0.750 0.374
0.886 0.504 0.886
0.886 0.886 0.504
```

Values from the calculation:
- Relative energy among the computed polymorphs: 0.215 eV per atom
- Formation enthalpy at 0 K: 0.211 eV per atom

CeAl3P2O14: relaxed, PBE-GGA.

```
CeAl3P2O14
1.0
3.475 2.007 5.318
-3.475 2.007 5.318
0.000 -4.013 5.318
Ce Al P O
1 3 2 14
Direct
0.000 0.000 0.000
0.000 0.000 0.500
0.000 0.500 0.000
0.500 0.000 0.000
0.319 0.319 0.319
0.681 0.681 0.681
0.095 0.758 0.758
0.162 0.162 0.524
0.162 0.524 0.162
0.242 0.242 0.905
0.242 0.905 0.242
0.415 0.415 0.415
0.476 0.838 0.838
0.524 0.162 0.162
0.585 0.585 0.585
0.758 0.095 0.758
0.758 0.758 0.095
0.838 0.476 0.838
0.838 0.838 0.476
0.905 0.242 0.242
```

Values from the calculation:
- ΔE_f (raw): -204.7 kJ per mole of atoms

MnReRh2: relaxed, PBE-GGA.

```
MnReRh2
1.0
2.684 0.000 0.000
0.000 2.684 0.000
0.000 0.000 7.625
Mn Re Rh
1 1 2
Direct
0.000 0.000 0.000
0.500 0.500 0.251
0.000 0.000 0.500
0.500 0.500 0.772
```

Values from the calculation:
- Relative energy among the computed polymorphs: 0.079 eV per atom
- Formation enthalpy at 0 K: -0.026 eV per atom

Rb3Ce6Br20: relaxed, PBE-GGA.

```
Rb3Ce6Br20
1.0
0.000 7.798 7.798
7.798 0.000 7.798
7.798 7.798 0.000
Rb Ce Br
3 6 20
Direct
0.000 0.000 0.000
0.250 0.250 0.250
0.750 0.750 0.750
0.266 0.266 0.734
0.266 0.734 0.266
0.266 0.734 0.734
0.734 0.266 0.266
0.734 0.266 0.734
0.734 0.734 0.266
0.000 0.000 0.333
0.000 0.000 0.667
0.000 0.333 0.000
0.000 0.333 0.667
0.000 0.667 0.000
0.000 0.667 0.333
0.151 0.616 0.616
0.333 0.000 0.000
0.333 0.000 0.667
0.333 0.667 0.000
0.384 0.384 0.384
0.384 0.384 0.849
0.384 0.849 0.384
0.616 0.151 0.616
0.616 0.616 0.151
0.616 0.616 0.616
0.667 0.000 0.000
0.667 0.000 0.333
0.667 0.333 0.000
0.849 0.384 0.384
```

Values from the calculation:
- ΔE_f (raw): -170.9 kJ per mole of atoms

Cd3PtAu4: relaxed, PBE-GGA.

```
Cd3PtAu4
1.0
11.897 -2.240 0.000
11.897 2.240 0.000
-0.329 0.000 2.975
Cd Pt Au
3 1 4
Direct
0.000 0.000 0.000
0.156 0.156 0.640
0.844 0.844 0.360
0.500 0.500 0.500
0.279 0.279 0.786
0.399 0.399 0.912
0.601 0.601 0.088
0.721 0.721 0.214
```

Values from the calculation:
- Relative energy among the computed polymorphs: 0.041 eV per atom
- Formation enthalpy at 0 K: -0.115 eV per atom

CaSbRuI2: relaxed, PBE-GGA.

```
CaSbRuI2
1.0
5.591 0.000 0.000
0.000 5.591 0.000
0.000 0.000 5.050
Ca Sb Ru I
1 1 1 2
Direct
0.000 0.000 0.000
0.500 0.500 0.000
0.500 0.500 0.500
0.000 0.500 0.500
0.500 0.000 0.500
```

Values from the calculation:
- Relative energy among the computed polymorphs: 0.000 eV per atom
- ΔE_f (raw): -7.1 kJ per mole of atoms

PmEr3Pd2: relaxed, PBE-GGA.

```
PmEr3Pd2
1.0
7.718 -2.572 0.000
7.718 2.572 0.000
-3.026 0.000 7.706
Pm Er Pd
2 6 4
Direct
0.143 0.143 0.224
0.857 0.857 0.776
0.066 0.066 0.741
0.313 0.313 0.004
0.375 0.375 0.485
0.625 0.625 0.515
0.687 0.687 0.996
0.934 0.934 0.259
0.219 0.219 0.626
0.496 0.496 0.829
0.504 0.504 0.171
0.781 0.781 0.374
```

Values from the calculation:
- Relative energy among the computed polymorphs: 0.077 eV per atom
- Formation enthalpy at 0 K: -0.517 eV per atom

Pr2PdAuO5: relaxed, PBE-GGA.

```
Pr2PdAuO5
1.0
1.784 -6.914 0.000
1.784 6.914 0.000
0.000 0.000 10.668
Pr Pd Au O
4 2 2 10
Direct
0.109 0.891 0.500
0.140 0.860 0.120
0.860 0.140 0.620
0.891 0.109 0.000
0.202 0.798 0.841
0.798 0.202 0.341
0.463 0.537 0.275
0.537 0.463 0.775
0.061 0.939 0.907
0.280 0.720 0.431
0.309 0.691 0.096
0.343 0.657 0.787
0.485 0.515 0.588
0.515 0.485 0.088
0.657 0.343 0.287
0.691 0.309 0.596
0.720 0.280 0.931
0.939 0.061 0.407
```

Values from the calculation:
- ΔE_f (raw): -162.4 kJ per mole of atoms

Cr2CuRhW: relaxed, PBE-GGA.

```
Cr2CuRhW
1.0
4.196 0.000 0.000
0.000 4.196 0.000
0.000 0.000 4.393
Cr Cu Rh W
2 1 1 1
Direct
0.000 0.500 0.000
0.500 0.000 0.000
0.000 0.000 0.000
0.000 0.000 0.500
0.500 0.500 0.500
```

Values from the calculation:
- Formation enthalpy at 0 K: 1.587 eV per atom

BaLiRe: relaxed, PBE-GGA.

```
BaLiRe
1.0
-1.468 2.115 5.514
1.468 -2.115 5.514
1.468 2.115 -5.514
Ba Li Re
1 1 1
Direct
0.000 0.000 0.000
0.716 0.716 0.000
0.302 0.302 0.000
```

Values from the calculation:
- Relative energy among the computed polymorphs: 0.000 eV per atom
- Formation enthalpy at 0 K: 1.049 eV per atom

Hf3Fe2Au: relaxed, PBE-GGA.

```
Hf3Fe2Au
1.0
3.128 0.000 0.000
0.000 3.128 0.000
0.000 0.000 10.366
Hf Fe Au
3 2 1
Direct
0.000 0.000 0.000
0.000 0.000 0.304
0.000 0.000 0.696
0.500 0.500 0.154
0.500 0.500 0.846
0.500 0.500 0.500
```

Values from the calculation:
- Formation enthalpy at 0 K: -0.353 eV per atom

ZrNiTeN2: relaxed, PBE-GGA.

```
ZrNiTeN2
1.0
4.077 0.000 0.000
0.000 4.077 0.000
0.000 0.000 6.179
Zr Ni Te N
1 1 1 2
Direct
0.000 0.000 0.000
0.500 0.500 0.500
0.000 0.000 0.500
0.000 0.500 0.000
0.500 0.000 0.000
```

Values from the calculation:
- Relative energy among the computed polymorphs: 0.000 eV per atom
- ΔE_f (raw): 66.6 kJ per mole of atoms

HgCN3: relaxed, PBE-GGA.

```
HgCN3
1.0
3.551 0.000 0.000
0.000 3.551 0.000
0.000 0.000 3.551
Hg C N
1 1 3
Direct
0.000 0.000 0.000
0.500 0.500 0.500
0.000 0.500 0.500
0.500 0.000 0.500
0.500 0.500 0.000
```

Values from the calculation:
- ΔE_f (raw): 272.9 kJ per mole of atoms

Cd2MoW: relaxed, PBE-GGA.

```
Cd2MoW
1.0
2.764 0.000 0.000
0.000 2.764 0.000
0.000 0.000 9.507
Cd Mo W
2 1 1
Direct
0.000 0.000 0.000
0.500 0.500 0.274
0.000 0.000 0.518
0.500 0.500 0.755
```

Values from the calculation:
- Relative energy among the computed polymorphs: 0.181 eV per atom
- Formation enthalpy at 0 K: 0.472 eV per atom

In2CoNiMo: relaxed, PBE-GGA.

```
In2CoNiMo
1.0
4.709 0.000 0.000
0.000 4.709 0.000
0.000 0.000 4.566
In Co Ni Mo
2 1 1 1
Direct
0.000 0.500 0.000
0.500 0.000 0.000
0.000 0.000 0.500
0.500 0.500 0.000
0.500 0.500 0.500
```

Values from the calculation:
- Formation enthalpy at 0 K: 1.021 eV per atom

BaCuN: relaxed, PBE-GGA.

```
BaCuN
1.0
6.278 0.000 0.000
0.000 4.007 0.000
0.000 0.000 5.525
Ba Cu N
2 2 2
Direct
0.250 0.000 0.246
0.750 0.000 0.754
0.250 0.500 0.671
0.750 0.500 0.329
0.000 0.500 0.500
0.500 0.500 0.500
```

Values from the calculation:
- ΔE_f (raw): -2.1 kJ per mole of atoms

DyHoPu2N4: relaxed, PBE-GGA.

```
DyHoPu2N4
1.0
5.984 0.000 0.000
0.000 3.479 0.000
-2.022 0.000 5.677
Dy Ho Pu N
1 1 2 4
Direct
0.000 0.000 0.000
0.000 0.500 0.500
0.500 0.000 0.500
0.500 0.500 0.000
0.256 0.000 0.751
0.257 0.500 0.253
0.743 0.500 0.747
0.744 0.000 0.249
```

Values from the calculation:
- ΔE_f (raw): -143.2 kJ per mole of atoms

ErMnAl6: relaxed, PBE-GGA.

```
ErMnAl6
1.0
2.902 1.675 5.707
-2.902 1.675 5.707
0.000 -3.351 5.707
Er Mn Al
1 1 6
Direct
0.000 0.000 0.000
0.500 0.500 0.500
0.062 0.588 0.588
0.412 0.412 0.938
0.412 0.938 0.412
0.588 0.062 0.588
0.588 0.588 0.062
0.938 0.412 0.412
```

Values from the calculation:
- Formation enthalpy at 0 K: 0.160 eV per atom

CaAcCl: relaxed, PBE-GGA.

```
CaAcCl
1.0
15.533 0.000 0.000
0.000 1.942 3.366
0.000 -1.942 3.366
Ca Ac Cl
2 2 2
Direct
0.000 0.000 0.000
0.500 0.330 0.330
0.211 0.333 0.333
0.789 0.333 0.333
0.381 0.997 0.997
0.619 0.997 0.997
```

Values from the calculation:
- Relative energy among the computed polymorphs: 0.064 eV per atom
- ΔE_f (raw): -89.6 kJ per mole of atoms

NdDyP2: relaxed, PBE-GGA.

```
NdDyP2
1.0
2.025 1.169 6.954
-2.025 1.169 6.954
0.000 -2.338 6.954
Nd Dy P
1 1 2
Direct
0.000 0.000 0.000
0.828 0.828 0.828
0.416 0.416 0.416
0.578 0.578 0.578
```

Values from the calculation:
- Relative energy among the computed polymorphs: 0.179 eV per atom
- Formation enthalpy at 0 K: -1.390 eV per atom

NaHg4Pd7: relaxed, PBE-GGA.

```
NaHg4Pd7
1.0
5.251 -2.487 0.000
5.251 2.487 0.000
-5.193 0.000 8.759
Na Hg Pd
1 4 7
Direct
0.000 0.000 0.000
0.182 0.182 0.773
0.416 0.416 0.687
0.584 0.584 0.313
0.818 0.818 0.227
0.118 0.118 0.463
0.292 0.292 0.082
0.345 0.345 0.379
0.500 0.500 0.000
0.655 0.655 0.621
0.708 0.708 0.918
0.882 0.882 0.537
```

Values from the calculation:
- Formation enthalpy at 0 K: -0.020 eV per atom

Sn2PPt: relaxed, PBE-GGA.

```
Sn2PPt
1.0
-3.094 3.094 5.730
3.094 -3.094 5.730
3.094 3.094 -5.730
Sn P Pt
4 2 2
Direct
0.121 0.625 0.996
0.375 0.371 0.496
0.629 0.125 0.004
0.875 0.879 0.504
0.250 0.750 0.500
0.500 0.500 0.000
0.000 0.000 0.000
0.750 0.250 0.500
```

Values from the calculation:
- Formation enthalpy at 0 K: -0.085 eV per atom

| no. | calculated volume (A^3/atom) | calculated total energy (eV for the cell shown) | magnetic moment (μB/cell) |
| --- | --- | --- | --- |
| 1 | 30.7 | -88.8 | 2.45 |
| 2 | 22.7 | -39.4 | 0.00 |
| 3 | 11.1 | -139.8 | 5.07 |
| 4 | 13.7 | -36.4 | 1.44 |
| 5 | 32.7 | -123.3 | 7.00 |
| 6 | 19.8 | -22.8 | 0.00 |
| 7 | 31.6 | -18.9 | 0.00 |
| 8 | 25.5 | -63.9 | 0.00 |
| 9 | 14.6 | -115.9 | 0.00 |
| 10 | 15.5 | -35.7 | 0.00 |
| 11 | 22.8 | -13.1 | 0.01 |
| 12 | 16.9 | -52.2 | 0.50 |
| 13 | 20.5 | -30.7 | 1.49 |
| 14 | 9.0 | -20.4 | 2.14 |
| 15 | 18.2 | -23.7 | 0.00 |
| 16 | 20.3 | -24.1 | 2.29 |
| 17 | 23.2 | -28.8 | 0.00 |
| 18 | 14.8 | -83.0 | 9.56 |
| 19 | 20.8 | -34.9 | 0.00 |
| 20 | 33.8 | -21.5 | 1.10 |
| 21 | 24.7 | -25.8 | 0.00 |
| 22 | 19.1 | -39.1 | 0.00 |
| 23 | 27.4 | -39.6 | 0.00 |